This record from Alexandria describes a relaxed structure of CdP2Br. The functional is PBE.

abc: 4.6660 4.6660 9.1254
angles: 90.00 90.00 137.25
Closest atoms and distances in Å follow each position.
Element x y z (fractional)
Br  0.0000  0.0000  0.5459  2 Cd 2.66
P  0.0000  0.0000  0.0187  2 P 2.17
P  0.5000  0.5000  0.1660  2 P 2.17
Cd  0.5000  0.5000  0.7695  2 Br 2.66, 2 P 2.84

The calculation puts the formation energy (no corrections) at 0.58 eV per formula unit. The calculation puts the volume at 134.9 Å³/f.u. The value obtained for the magnetic moment is 0.00 μB per formula unit. For the density of states at the Fermi level, the calculation gives 0.678 states/eV per atom.